Below is a relaxed structure of Ti2V4W3, with properties calculated at the PBE level.

Results
Symmetry: P-3m1 (164)
Formation energy in eV/atom: -0.027
Volume in Å³/atom: 15.01

a b c (Å): 4.4003 4.4003 8.0546
angles (deg): 90.00 90.00 120.00
Fractional positions:
Ti  0.3333  0.6667  0.2810
Ti  0.6667  0.3333  0.7190
V  0.0000  0.0000  0.1670
V  0.0000  0.0000  0.8330
V  0.3333  0.6667  0.6113
V  0.6667  0.3333  0.3887
W  0.0000  0.0000  0.5000
W  0.3333  0.6667  0.9388
W  0.6667  0.3333  0.0612

***

Below is a relaxed structure of TiV2W3, with properties calculated at the PBE level.

Results
Excess energy over the best structure of this formula in the dataset in meV/atom: 230
Symmetry: C2/m (12)
Formation energy in eV/atom: 0.407
Volume in Å³/atom: 17.16

a b c (Å): 9.1706 5.3099 4.2299
angles (deg): 90.00 90.11 90.00
Fractional positions:
Ti  0.0000  0.0000  0.0000
Ti  0.5000  0.5000  0.0000
V  0.1669  0.5000  0.9998
V  0.3331  0.0000  0.0002
V  0.6669  0.0000  0.9998
V  0.8331  0.5000  0.0002
W  0.0000  0.5000  0.5000
W  0.2500  0.2500  0.5000
W  0.2500  0.7500  0.5000
W  0.5000  0.0000  0.5000
W  0.7500  0.2500  0.5000
W  0.7500  0.7500  0.5000

***

Below is a relaxed structure of TiV2W6, with properties calculated at the PBE level.

Results
Excess energy over the best structure of this formula in the dataset in meV/atom: 0
Symmetry: P-1 (2)
Formation energy in eV/atom: 0.378
Volume in Å³/atom: 16.68

a b c (Å): 4.5021 5.5230 6.4983
angles (deg): 82.03 69.93 89.91
Fractional positions:
Ti  0.0000  0.0000  0.0000
V  0.0990  0.4772  0.8022
V  0.9010  0.5228  0.1978
W  0.2935  0.3455  0.4125
W  0.2998  0.8598  0.3988
W  0.4985  0.2556  0.0025
W  0.5015  0.7444  0.9975
W  0.7002  0.1402  0.6012
W  0.7065  0.6545  0.5875

***

Below is a relaxed structure of Ti3VW, with properties calculated at the PBE level.

Results
Excess energy over the best structure of this formula in the dataset in meV/atom: 0
Symmetry: P-1 (2)
Formation energy in eV/atom: 0.030
Volume in Å³/atom: 16.05

a b c (Å): 2.8066 6.8766 8.9542
angles (deg): 109.55 90.52 99.05
Fractional positions:
Ti  0.0977  0.1087  0.1567
Ti  0.3765  0.7065  0.5503
Ti  0.3904  0.7058  0.0564
Ti  0.6096  0.2942  0.9436
Ti  0.6235  0.2935  0.4497
Ti  0.9023  0.8913  0.8433
V  0.1675  0.1063  0.6411
V  0.8325  0.8937  0.3589
W  0.0245  0.4895  0.7469
W  0.9755  0.5105  0.2531

***

Below is a relaxed structure of TiVW4, with properties calculated at the PBE level.

Results
Symmetry: C2/m (12)
Formation energy in eV/atom: -0.087
Volume in Å³/atom: 15.65

a b c (Å): 9.4607 4.4327 5.4991
angles (deg): 90.00 125.45 90.00
Fractional positions:
Ti  0.0000  0.0000  0.0000
Ti  0.5000  0.5000  0.0000
V  0.0000  0.0000  0.5000
V  0.5000  0.5000  0.5000
W  0.1635  0.5000  0.8333
W  0.1703  0.5000  0.3397
W  0.3297  0.0000  0.6603
W  0.3365  0.0000  0.1667
W  0.6635  0.0000  0.8333
W  0.6703  0.0000  0.3397
W  0.8297  0.5000  0.6603
W  0.8365  0.5000  0.1667

***

Below is a relaxed structure of TiV3W2, with properties calculated at the PBE level.

Results
Excess energy over the best structure of this formula in the dataset in meV/atom: 0
Symmetry: P-3m1 (164)
Formation energy in eV/atom: 0.006
Volume in Å³/atom: 15.17

a b c (Å): 5.0894 5.0894 8.1141
angles (deg): 90.00 90.00 120.00
Fractional positions:
Ti  0.3333  0.6667  0.0646
Ti  0.6667  0.3333  0.9354
V  0.1723  0.3447  0.7474
V  0.1723  0.8277  0.7474
V  0.3447  0.1723  0.2526
V  0.6553  0.8277  0.7474
V  0.8277  0.1723  0.2526
V  0.8277  0.6553  0.2526
W  0.0000  0.0000  0.0000
W  0.0000  0.0000  0.5000
W  0.3333  0.6667  0.4410
W  0.6667  0.3333  0.5590

***

Which value of volume does entry 5 give? 15.65 Å³/atom